Entry 1:
TeSe2S2: optimized geometry, GGA-PBE.

Computed properties:
Uncorrected formation energy: 0.39 eV/atom
Polymorph energy (0 for the lowest one): 0.149 eV/atom

abc: 8.7545 8.7545 3.1413
angles: 90.00 90.00 90.00
Last column: nearest neighbours and their distance in Å.
Space group P4/mbm (No. 127)
Symmetry-distinct sites (fractional):
Te1 0.0000 0.0000 0.0000 x2  4 Se 3.10, 2 Te 3.14
Se1 0.2484 0.2516 0.0000 x4  2 S 2.37
S1 0.1046 0.3954 0.5000 x4  2 Se 2.37, 1 S 2.59

Entry 2:
KTcOs2: optimized geometry, GGA-PBE.

Computed properties:
Energy of formation: 1.589 eV per atom
Polymorph energy (0 for the lowest one): 0.901 eV/atom

abc: 6.3957 6.3957 6.3957
angles: 90.00 90.00 90.00
Last column: nearest neighbours and their distance in Å.
Space group Fm-3m (No. 225)
Symmetry-distinct sites (fractional):
K1 0.0000 0.0000 0.0000 x4  8 Os 2.77
Tc1 0.0000 0.0000 0.5000 x4  8 Os 2.77
Os1 0.2500 0.2500 0.2500 x8  4 Tc 2.77, 4 K 2.77

Entry 3:
Hf2InFeH: optimized geometry, GGA-PBE.

Computed properties:
Calculated total energy: -7.0349 eV per atom

abc: 4.5337 4.5337 3.7627
angles: 90.00 90.00 90.00
Last column: nearest neighbours and their distance in Å.
Space group P4/mmm (No. 123)
Symmetry-distinct sites (fractional):
Hf1 0.0000 0.5000 0.0000 x2  2 H 2.27
In1 0.0000 0.0000 0.5000 x1  8 Hf 2.95, 4 Fe 3.21
Fe1 0.5000 0.5000 0.5000 x1  2 H 1.88
H1 0.5000 0.5000 0.0000 x1  2 Fe 1.88

Entry 4:
Na3MoN: optimized geometry, GGA-PBE.

Computed properties:
Uncorrected formation energy: 1.19 eV/atom
Polymorph energy (0 for the lowest one): 0.000 eV/atom

abc: 4.8574 4.8574 4.8574
angles: 90.00 90.00 90.00
Last column: nearest neighbours and their distance in Å.
Space group Pm-3m (No. 221)
Symmetry-distinct sites (fractional):
Na1 0.0000 0.0000 0.5000 x3  2 N 2.43
Mo1 0.5000 0.5000 0.5000 x1  12 Na 3.43
N1 0.0000 0.0000 0.0000 x1  6 Na 2.43

Entry 5:
Ce3IrI3: optimized geometry, GGA-PBE.

Computed properties:
Uncorrected formation energy: -0.55 eV/atom
Polymorph energy (0 for the lowest one): 0.520 eV/atom

abc: 9.7245 16.7731 6.4343
angles: 90.00 90.00 90.00
Last column: nearest neighbours and their distance in Å.
Space group Cmcm (No. 63)
Symmetry-distinct sites (fractional):
Ce1 0.0000 0.1781 0.2500 x4  1 Ir 2.59
Ce2 0.2305 0.4102 0.2500 x8  1 Ir 2.59
Ir1 0.0000 0.3325 0.2500 x4  3 Ce 2.59
I1 0.0000 0.1962 0.7500 x4  4 Ce 3.17-3.23
I2 0.2038 0.4012 0.7500 x8  4 Ce 3.17-3.23

Entry 6:
AuS2N2: optimized geometry, GGA-PBE.

Computed properties:
Uncorrected formation energy: 0.64 eV/atom
Polymorph energy (0 for the lowest one): 0.045 eV/atom

abc: 13.1924 3.2258 5.2217
angles: 90.00 94.98 90.00
Last column: nearest neighbours and their distance in Å.
Space group Cm (No. 8)
Symmetry-distinct sites (fractional):
Au1 0.0000 0.0000 0.0000 x2  1 N 2.10, 1 S 2.28
S1 0.0661 0.0000 0.6104 x2  1 N 1.63
S2 0.3425 0.5000 0.4646 x2  1 N 1.49
N1 0.3269 0.5000 0.7429 x2  1 S 1.49
N2 0.4711 0.5000 0.3886 x2  2 S 1.63-1.78

Entry 7:
BaRhBr2: optimized geometry, GGA-PBE.

Computed properties:
Uncorrected formation energy: -0.62 eV/atom
Polymorph energy (0 for the lowest one): 0.271 eV/atom

abc: 5.1163 5.1163 4.1149
angles: 90.00 90.00 90.00
Last column: nearest neighbours and their distance in Å.
Space group P4/mmm (No. 123)
Symmetry-distinct sites (fractional):
Ba1 0.0000 0.0000 0.0000 x1  8 Br 3.28, 4 Rh 3.62
Rh1 0.5000 0.5000 0.0000 x1  8 Br 3.28, 4 Ba 3.62
Br1 0.0000 0.5000 0.5000 x2  4 Ba 3.28, 4 Rh 3.28, 4 Br 3.62

Entry 8:
LiSmV: optimized geometry, GGA-PBE.

Computed properties:
Energy of formation: 0.195 eV per atom

abc: 3.3319 3.3319 12.1552
angles: 90.00 90.00 90.00
Last column: nearest neighbours and their distance in Å.
Space group P4/nmm (No. 129, origin choice 2)
Symmetry-distinct sites (fractional):
Li1 0.2500 0.2500 0.0719 x2  4 Li 2.93
Sm1 0.2500 0.2500 0.7125 x2  5 V 3.08-3.14, 4 Sm 3.33
V1 0.2500 0.2500 0.4588 x2  4 V 2.56

Entry 9:
AgHg4Pd5: optimized geometry, GGA-PBE.

Computed properties:
Energy of formation: -0.144 eV per atom

abc: 3.3833 3.3833 15.5416
angles: 90.00 90.00 90.00
Last column: nearest neighbours and their distance in Å.
Space group P4/mmm (No. 123)
Symmetry-distinct sites (fractional):
Ag1 0.0000 0.0000 0.0000 x1  8 Pd 2.83, 2 Hg 3.02
Hg1 0.0000 0.0000 0.1942 x2  8 Pd 2.83-2.88, 1 Ag 3.02
Hg2 0.0000 0.0000 0.3983 x2  8 Pd 2.86-2.87, 2 Hg 3.16-3.17
Pd1 0.5000 0.5000 0.0972 x2  4 Hg 2.83, 4 Ag 2.83, 2 Pd 3.02-3.12
Pd2 0.5000 0.5000 0.2978 x2  8 Hg 2.86-2.88, 2 Pd 3.12-3.14
Pd3 0.5000 0.5000 0.5000 x1  8 Hg 2.87, 2 Pd 3.14

Entry 10:
TeWAu2: optimized geometry, GGA-PBE.

Computed properties:
Uncorrected formation energy: 0.62 eV/atom

abc: 4.6416 3.1984 5.4146
angles: 90.00 108.07 90.00
Last column: nearest neighbours and their distance in Å.
Space group P2/m (No. 10)
Symmetry-distinct sites (fractional):
Te1 0.0000 0.0000 0.0000 x1  4 W 2.82, 6 Au 2.97-3.14
W1 0.5000 0.5000 0.0000 x1  4 Te 2.82, 6 Au 2.97-3.14
Au1 0.0000 0.5000 0.5000 x1  4 Au 2.82, 2 W 2.97, 4 Te 3.14
Au2 0.5000 0.0000 0.5000 x1  4 Au 2.82, 2 Te 2.97, 4 W 3.14

Entry 11:
LiLuZr: optimized geometry, GGA-PBE.

Computed properties:
Energy of formation: 0.125 eV per atom
Polymorph energy (0 for the lowest one): 0.000 eV/atom

abc: 3.3179 3.3179 12.8692
angles: 90.00 90.00 90.00
Last column: nearest neighbours and their distance in Å.
Space group I4mm (No. 107)
Symmetry-distinct sites (fractional):
Li1 0.0000 0.0000 0.0000 x2  4 Zr 3.11, 4 Lu 3.26, 4 Li 3.32
Lu1 0.0000 0.0000 0.3246 x2  4 Zr 3.17, 4 Li 3.26, 4 Lu 3.32
Zr1 0.0000 0.0000 0.6586 x2  4 Li 3.11, 4 Lu 3.17, 4 Zr 3.32

Entry 12:
SbP2SCl: optimized geometry, GGA-PBE.

Computed properties:
Uncorrected formation energy: 1.12 eV/atom
Polymorph energy (0 for the lowest one): 0.443 eV/atom

abc: 4.6556 4.6556 4.7974
angles: 90.00 90.00 90.00
Last column: nearest neighbours and their distance in Å.
Space group P4/mmm (No. 123)
Symmetry-distinct sites (fractional):
Sb1 0.0000 0.0000 0.0000 x1  4 S 3.29, 8 P 3.34
P1 0.0000 0.5000 0.5000 x2  2 Cl 2.33
S1 0.5000 0.5000 0.0000 x1  2 Cl 2.40
Cl1 0.5000 0.5000 0.5000 x1  4 P 2.33, 2 S 2.40

Entry 13:
YGaS3: optimized geometry, GGA-PBE.

Computed properties:
Uncorrected formation energy: -1.35 eV/atom
Polymorph energy (0 for the lowest one): 0.000 eV/atom

abc: 3.8826 22.4171 6.4023
angles: 90.00 90.00 90.00
Last column: nearest neighbours and their distance in Å.
Space group Ama2 (No. 40)
Symmetry-distinct sites (fractional):
Y1 0.2500 0.1753 0.0000 x4  6 S 2.67-2.79
Ga1 0.2500 0.3750 0.9329 x4  4 S 2.25-2.36
S1 0.2500 0.0822 0.2895 x4  2 Ga 2.35
S2 0.2500 0.2806 0.7686 x4  1 Ga 2.36
S3 0.2500 0.3788 0.2845 x4  1 Ga 2.25

Number 1: density 4.823 g/cm³, size of the total moment 0.0 μB per cell. Number 2: density 13.140 g/cm³, size of the total moment 0.0 μB per cell. Number 3: density 11.350 g/cm³, size of the total moment 1.9 μB per cell. Number 4: density 2.592 g/cm³, size of the total moment 6.0 μB per cell. Number 5: density 6.286 g/cm³, size of the total moment 16.0 μB per cell. Number 6: density 4.337 g/cm³, size of the total moment 0.0 μB per cell. Number 7: density 6.167 g/cm³, size of the total moment 1.1 μB per cell. Number 8: density 5.125 g/cm³, size of the total moment 0.0 μB per cell. Number 9: density 13.463 g/cm³, size of the total moment 0.0 μB per cell. Number 10: density 15.327 g/cm³, size of the total moment 0.0 μB per cell. Number 11: density 6.403 g/cm³, size of the total moment 0.0 μB per cell. Number 12: density 4.012 g/cm³, size of the total moment 0.0 μB per cell. Number 13: density 3.037 g/cm³, size of the total moment 0.0 μB per cell.